Here is a relaxed Y2SN crystal from Alexandria via LeMat-Bulk. Energies are from PBE.

The structure in POSCAR format:
```
Y2SN
1.0
3.6317 0.0000 0.0000
1.8159 3.1452 0.0000
1.8159 1.0484 6.2796
Y N S
2 1 1
Cartesian
1.8159 1.0484 1.8288
5.4476 3.1452 4.4508
3.6317 2.0968 3.1398
0.0000 0.0000 0.0000
```

Summary:
* energy above the most stable polymorph in this dataset: 0 meV per atom
* calculated volume: 71.7 Å³ per cell
* formation energy without anion corrections: -1.8518 eV per atom
* total energy: -8.197 eV/atom



Here is a relaxed YZnS2N crystal from Alexandria via LeMat-Bulk. Energies are from PBE.

The structure in POSCAR format:
```
YZnS2N
1.0
5.3018 0.0000 0.0000
0.0000 5.3018 0.0000
0.0000 0.0000 4.4829
Zn S Y N
1 2 1 1
Cartesian
2.6509 2.6509 2.2415
0.0000 2.6509 0.0000
2.6509 0.0000 0.0000
0.0000 0.0000 0.0000
0.0000 0.0000 2.2415
```

Summary:
* energy above the most stable polymorph in this dataset: 461 meV per atom
* calculated volume: 126.0 Å³ per cell
* formation energy without anion corrections: 0.2478 eV per atom
* total energy: -4.616 eV/atom



Here is a relaxed YZnSN2 crystal from Alexandria via LeMat-Bulk. Energies are from PBE.

The structure in POSCAR format:
```
YZnSN2
1.0
-3.5170 -2.4654 -1.1278
-0.6454 -1.0328 4.2704
-3.2621 4.3930 0.5695
Y S N Zn
1 1 2 1
Cartesian
0.0000 0.0000 0.0000
-1.6310 2.1965 0.2847
-1.7585 -1.2327 -0.5639
-0.3227 -0.5164 2.1352
-3.7122 0.4474 1.8560
```

Summary:
* energy above the most stable polymorph in this dataset: 477 meV per atom
* calculated volume: 108.5 Å³ per cell
* formation energy without anion corrections: 0.7949 eV per atom
* total energy: -4.908 eV/atom



Here is a relaxed YZnSN2 crystal from Alexandria via LeMat-Bulk. Energies are from PBE.

The structure in POSCAR format:
```
YZnSN2
1.0
-3.6912 0.8290 -1.1749
-1.3827 -1.1576 3.5271
0.4704 4.4046 1.6300
Y N S Zn
1 2 1 1
Cartesian
-2.3017 2.0380 1.9911
-0.6913 -0.5788 1.7636
-1.8456 0.4145 -0.5874
0.2352 2.2023 0.8150
0.0000 0.0000 0.0000
```

Summary:
* energy above the most stable polymorph in this dataset: 0 meV per atom
* calculated volume: 74.1 Å³ per cell
* formation energy without anion corrections: 0.3177 eV per atom
* total energy: -5.386 eV/atom



Here is a relaxed YZnS2N crystal from Alexandria via LeMat-Bulk. Energies are from PBE.

The structure in POSCAR format:
```
YZnS2N
1.0
-3.9226 1.8685 2.0997
-1.8768 -4.4247 0.4312
1.6561 -0.3690 3.4221
S Y Zn N
2 1 1 1
Cartesian
-1.9613 0.9342 1.0498
-0.9384 -2.2123 0.2156
-2.0717 -1.4626 2.9765
0.0000 0.0000 0.0000
0.8280 -0.1845 1.7111
```

Summary:
* energy above the most stable polymorph in this dataset: 0 meV per atom
* calculated volume: 88.9 Å³ per cell
* formation energy without anion corrections: -0.2134 eV per atom
* total energy: -5.077 eV/atom



Here is a relaxed YZrS2N crystal from Alexandria via LeMat-Bulk. Energies are from PBE.

The structure in POSCAR format:
```
YZrS2N
1.0
5.0271 0.0000 0.0000
0.0000 5.0271 0.0000
0.0000 0.0000 4.0461
Y S N Zr
1 2 1 1
Cartesian
2.5136 2.5136 2.0230
2.5136 0.0000 0.0000
0.0000 2.5136 0.0000
0.0000 0.0000 2.0230
0.0000 0.0000 0.0000
```

Summary:
* energy above the most stable polymorph in this dataset: 0 meV per atom
* calculated volume: 102.3 Å³ per cell
* formation energy without anion corrections: -1.0348 eV per atom
* total energy: -7.353 eV/atom



Here is a relaxed YZrS2N crystal from Alexandria via LeMat-Bulk. Energies are from PBE.

The structure in POSCAR format:
```
YZrS2N
1.0
-1.3017 -0.3311 4.9675
-4.4329 -2.2598 -1.3122
1.7756 -3.6133 0.2244
S N Zr Y
2 1 1 1
Cartesian
-0.6508 -0.1656 2.4837
-2.2165 -1.1299 -0.6561
0.8878 -1.8067 0.1122
-1.9795 -3.1021 1.9398
0.0000 0.0000 0.0000
```

Summary:
* energy above the most stable polymorph in this dataset: 929 meV per atom
* calculated volume: 106.8 Å³ per cell
* formation energy without anion corrections: -0.1062 eV per atom
* total energy: -6.425 eV/atom



Here is a relaxed ZnS3N crystal from Alexandria via LeMat-Bulk. Energies are from PBE.

The structure in POSCAR format:
```
ZnS3N
1.0
-1.1993 -2.6440 -2.9446
-0.0970 -3.0562 2.7837
-3.9562 0.8764 0.8243
Zn S N
1 3 1
Cartesian
-2.6262 -2.4119 0.3318
-0.5996 -1.3220 -1.4723
-1.9781 0.4382 0.4122
-0.0485 -1.5281 1.3919
0.0000 0.0000 0.0000
```

Summary:
* energy above the most stable polymorph in this dataset: 0 meV per atom
* calculated volume: 70.7 Å³ per cell
* formation energy without anion corrections: 1.0462 eV per atom
* total energy: -3.350 eV/atom